# Li9CaIn2 (PBE, optimized geometry)
data_Li9CaIn2
_space_group_name_H-M_alt 'R -3 m'
_space_group_IT_number 166
_space_group_name_Hall '-R 3 2"'
_cell_length_a 5.7248
_cell_length_b 5.7248
_cell_length_c 26.1640
_cell_angle_alpha 90.00
_cell_angle_beta 90.00
_cell_angle_gamma 120.00
loop_
_atom_site_label
_atom_site_fract_x
_atom_site_fract_y
_atom_site_fract_z
Li1 0.0000 0.0000 0.0000
Li2 0.0000 0.0000 0.1611
Li3 0.0175 0.5087 0.4091
Ca1 0.0000 0.0000 0.5000
In1 0.0000 0.0000 0.3632
# E_form = -6.7 kJ per mole of atoms
# uncorrected energy = -2.13 eV per atom
# density of states at the Fermi level = 19.04 states/eV per cell
# total moment = 0.000 μB per cell